Record 1
This record from OQMD describes Sc2Nb4Al3C3 after structural relaxation. The functional is PBE.

Calculated values
Its total energy is -0.604 Ry/atom. The volume comes out at 15.54 A^3/atom.

Unit cell a=5.5322 b=5.5322 c=14.4560 alpha=101.42 beta=101.42 gamma=59.97
Element x y z (fractional)
Al  0.1051  0.4135  0.2487
Al  0.0671  0.9329  0.2500
Al  0.5865  0.8949  0.2513
Al  0.4135  0.1051  0.7487
Al  0.9329  0.0671  0.7500
Al  0.8949  0.5865  0.7513
C  0.5000  0.0000  0.0000
C  0.8365  0.3318  0.0000
C  0.1635  0.6682  0.0000
C  0.3318  0.8365  0.5000
C  0.0000  0.5000  0.5000
C  0.6682  0.1635  0.5000
Nb  0.2029  0.0201  0.0824
Nb  0.8548  0.6943  0.0824
Nb  0.3057  0.1452  0.4176
Nb  0.9799  0.7971  0.4176
Nb  0.0201  0.2029  0.5824
Nb  0.6943  0.8548  0.5824
Nb  0.1452  0.3057  0.9176
Nb  0.7971  0.9799  0.9176
Sc  0.5352  0.3740  0.1011
Sc  0.6260  0.4648  0.3989
Sc  0.3740  0.5352  0.6011
Sc  0.4648  0.6260  0.8989

=====

Record 2
This record from OQMD describes Ta2Nb4Al3C3 after structural relaxation. The functional is PBE.

Calculated values
Its total energy is -0.669 Ry/atom. The volume comes out at 14.65 A^3/atom.

Unit cell a=5.4000 b=5.4000 c=14.2665 alpha=100.94 beta=100.94 gamma=60.03
Element x y z (fractional)
Al  0.5823  0.7484  0.2497
Al  0.9136  0.0864  0.2500
Al  0.2516  0.4177  0.2503
Al  0.7484  0.5823  0.7497
Al  0.0864  0.9136  0.7500
Al  0.4177  0.2516  0.7503
C  0.5000  0.0000  0.0000
C  0.8294  0.3353  0.0000
C  0.1706  0.6647  0.0000
C  0.3353  0.8294  0.5000
C  0.0000  0.5000  0.5000
C  0.6647  0.1706  0.5000
Nb  0.8645  0.6969  0.0900
Nb  0.1952  0.0315  0.0900
Nb  0.9685  0.8048  0.4100
Nb  0.3031  0.1355  0.4100
Nb  0.6969  0.8645  0.5900
Nb  0.0315  0.1952  0.5900
Nb  0.8048  0.9685  0.9100
Nb  0.1355  0.3031  0.9100
Ta  0.5294  0.3617  0.0886
Ta  0.6383  0.4706  0.4114
Ta  0.3617  0.5294  0.5886
Ta  0.4706  0.6383  0.9114

=====

Record 3
This record from OQMD describes Nb2Al3W4C3 after structural relaxation. The functional is PBE.

Calculated values
Its total energy is -0.693 Ry/atom. The volume comes out at 13.80 A^3/atom.

Unit cell a=5.3074 b=5.3074 c=13.9310 alpha=101.04 beta=101.04 gamma=59.96
Element x y z (fractional)
Al  0.7975  0.5844  0.2497
Al  0.0333  0.9667  0.2500
Al  0.4156  0.2025  0.2503
Al  0.5844  0.7975  0.7497
Al  0.9667  0.0333  0.7500
Al  0.2025  0.4156  0.7503
C  0.6641  0.1714  0.0000
C  0.0000  0.5000  0.0000
C  0.3359  0.8286  0.0000
C  0.1714  0.6641  0.5000
C  0.5000  0.0000  0.5000
C  0.8286  0.3359  0.5000
Nb  0.3676  0.5333  0.0998
Nb  0.4667  0.6324  0.4002
Nb  0.5333  0.3676  0.5998
Nb  0.6324  0.4667  0.9002
W  0.0253  0.1970  0.0854
W  0.6940  0.8598  0.0855
W  0.1402  0.3060  0.4145
W  0.8030  0.9747  0.4146
W  0.1970  0.0253  0.5854
W  0.8598  0.6940  0.5855
W  0.3060  0.1402  0.9145
W  0.9747  0.8030  0.9146

=====

Record 4
This record from OQMD describes Nb4Al3W2C3 after structural relaxation. The functional is PBE.

Calculated values
Its total energy is -0.672 Ry/atom. The volume comes out at 14.23 A^3/atom.

Unit cell a=5.3716 b=5.3716 c=14.0195 alpha=101.07 beta=101.07 gamma=60.01
Element x y z (fractional)
Al  0.7229  0.5838  0.2498
Al  0.1104  0.8896  0.2500
Al  0.4162  0.2771  0.2502
Al  0.5838  0.7229  0.7498
Al  0.8896  0.1104  0.7500
Al  0.2771  0.4162  0.7502
C  0.6658  0.1685  0.0000
C  0.0000  0.5000  0.0000
C  0.3342  0.8315  0.0000
C  0.1685  0.6658  0.5000
C  0.5000  0.0000  0.5000
C  0.8315  0.3342  0.5000
Nb  0.0321  0.1962  0.0924
Nb  0.6974  0.8656  0.0924
Nb  0.1344  0.3026  0.4076
Nb  0.8038  0.9679  0.4076
Nb  0.1962  0.0321  0.5924
Nb  0.8656  0.6974  0.5924
Nb  0.3027  0.1344  0.9076
Nb  0.9679  0.8038  0.9076
W  0.3597  0.5282  0.0845
W  0.4718  0.6403  0.4155
W  0.5282  0.3597  0.5845
W  0.6403  0.4718  0.9155

=====

Record 5
This record from OQMD describes Zr4Nb2Al3C3 after structural relaxation. The functional is PBE.

Calculated values
Its total energy is -0.617 Ry/atom. The volume comes out at 16.38 A^3/atom.

Unit cell a=5.6474 b=5.6474 c=14.5963 alpha=101.19 beta=101.19 gamma=60.07
Element x y z (fractional)
Al  0.7138  0.5811  0.2489
Al  0.1237  0.8763  0.2500
Al  0.4189  0.2862  0.2511
Al  0.5811  0.7138  0.7489
Al  0.8763  0.1237  0.7500
Al  0.2862  0.4189  0.7511
C  0.0000  0.5000  0.0000
C  0.3363  0.8272  0.0001
C  0.1728  0.6637  0.4999
C  0.5000  0.0000  0.5000
C  0.8272  0.3363  0.5001
C  0.6637  0.1728  0.9999
Nb  0.3572  0.5267  0.0811
Nb  0.4733  0.6428  0.4189
Nb  0.5267  0.3572  0.5811
Nb  0.6428  0.4733  0.9189
Zr  0.0349  0.1942  0.0929
Zr  0.6980  0.8680  0.0930
Zr  0.1320  0.3020  0.4070
Zr  0.8058  0.9651  0.4071
Zr  0.1942  0.0349  0.5929
Zr  0.8680  0.6980  0.5930
Zr  0.3020  0.1320  0.9070
Zr  0.9651  0.8058  0.9071

=====

Record 6
This record from OQMD describes NdAl3C after structural relaxation. The functional is PBE.

Calculated values
Its total energy is -0.345 Ry/atom. The volume comes out at 17.51 A^3/atom.

Unit cell a=4.4407 b=4.4407 c=4.4407 alpha=90.00 beta=90.00 gamma=90.00
Element x y z (fractional)
Al  0.5000  0.0000  0.0000
Al  0.0000  0.5000  0.0000
Al  0.0000  0.0000  0.5000
C  0.0000  0.0000  0.0000
Nd  0.5000  0.5000  0.5000

=====

Record 7
This record from OQMD describes Al3NiC5 after structural relaxation. The functional is PBE.

Calculated values
Its total energy is -0.468 Ry/atom. The volume comes out at 11.45 A^3/atom.

Unit cell a=4.3786 b=4.3786 c=5.3772 alpha=90.00 beta=90.00 gamma=92.24
Each line ends with the local moment (μB).
Element x y z (fractional)
Al  0.5000  0.0000  0.0551  0.00
Al  0.0000  0.5000  0.0551  0.00
Al  0.0000  0.0000  0.4594  0.00
C  0.7202  0.2798  0.2938  0.01
C  0.2798  0.7202  0.2938  0.01
C  0.2208  0.2208  0.8137  0.01
C  0.7792  0.7792  0.8137  0.01
C  0.0000  0.0000  0.8346  0.00
Ni  0.5000  0.5000  0.5308  0.18

=====

Record 8
This record from OQMD describes AlNi6C after structural relaxation. The functional is PBE.

Calculated values
Its total energy is -0.431 Ry/atom. The volume comes out at 11.67 A^3/atom.

Unit cell a=5.0920 b=5.0920 c=5.0920 alpha=60.00 beta=60.00 gamma=60.00
Each line ends with the local moment (μB).
Element x y z (fractional)
Al  0.2500  0.2500  0.2500  0.00
C  0.5000  0.5000  0.5000  0.00
Ni  0.2418  0.7582  0.2418  0.02
Ni  0.7582  0.2418  0.2418  0.05
Ni  0.7582  0.7582  0.2418  0.05
Ni  0.7582  0.2418  0.7582  0.05
Ni  0.2418  0.7582  0.7582  0.02
Ni  0.2418  0.2418  0.7582  0.01

=====

Record 9
This record from OQMD describes Sc4AlNiC2 after structural relaxation. The functional is PBE.

Calculated values
Its total energy is -0.516 Ry/atom. The volume comes out at 16.45 A^3/atom.

Unit cell a=3.3074 b=3.3074 c=13.8885 alpha=90.00 beta=90.00 gamma=120.00
Element x y z (fractional)
Al  0.0000  0.0000  0.0000
C  0.3333  0.6667  0.2679
C  0.3333  0.6667  0.7321
Ni  0.6667  0.3333  0.5000
Sc  0.6667  0.3333  0.1781
Sc  0.0000  0.0000  0.3576
Sc  0.0000  0.0000  0.6424
Sc  0.6667  0.3333  0.8219

=====

Record 10
This record from OQMD describes Ta4AlNiC2 after structural relaxation. The functional is PBE.

Calculated values
Its total energy is -0.724 Ry/atom. The volume comes out at 13.96 A^3/atom.

Unit cell a=3.1030 b=3.1030 c=13.3949 alpha=90.00 beta=90.00 gamma=120.00
Element x y z (fractional)
Al  0.0000  0.0000  0.0000
C  0.3333  0.6667  0.2600
C  0.3333  0.6667  0.7400
Ni  0.6667  0.3333  0.5000
Ta  0.6667  0.3333  0.1660
Ta  0.0000  0.0000  0.3529
Ta  0.0000  0.0000  0.6471
Ta  0.6667  0.3333  0.8340

=====

Record 11
This record from OQMD describes AlNiW4C2 after structural relaxation. The functional is PBE.

Calculated values
Its total energy is -0.722 Ry/atom. The volume comes out at 13.08 A^3/atom.

Unit cell a=3.0301 b=3.0301 c=13.1611 alpha=90.00 beta=90.00 gamma=120.00
Element x y z (fractional)
Al  0.3333  0.6667  0.0000
C  0.0000  0.0000  0.2570
C  0.0000  0.0000  0.7430
Ni  0.6667  0.3333  0.5000
W  0.6667  0.3333  0.1670
W  0.3333  0.6667  0.3480
W  0.3333  0.6667  0.6520
W  0.6667  0.3333  0.8330

=====

Record 12
This record from OQMD describes Zr4AlNiC2 after structural relaxation. The functional is PBE.

Calculated values
Its total energy is -0.610 Ry/atom. The volume comes out at 16.53 A^3/atom.

Unit cell a=3.3266 b=3.3266 c=13.7996 alpha=90.00 beta=90.00 gamma=120.00
Element x y z (fractional)
Al  0.0000  0.0000  0.0000
C  0.3333  0.6667  0.2622
C  0.3333  0.6667  0.7378
Ni  0.6667  0.3333  0.5000
Zr  0.6667  0.3333  0.1712
Zr  0.0000  0.0000  0.3597
Zr  0.0000  0.0000  0.6403
Zr  0.6667  0.3333  0.8288